No. 1
VASP calculation (PBE) on an optimized crystal structure of Cs2CaPuO4.

Lattice parameters (Å, degrees): 6.193 3.625 7.172 90.00 106.98 90.00
Space group P2/m (No. 10)
Unique sites:
1 Cs 0.000 0.000 0.000
2 Cs 0.500 0.500 0.000
3 Ca 0.000 0.500 0.500
4 Pu 0.500 0.000 0.500
5 O 0.251 0.000 0.661
6 O 0.293 0.500 0.332

- ΔE_f (raw): -2.319 eV/atom

No. 2
VASP calculation (PBE) on an optimized crystal structure of Pm3Dy5Ho4.

Lattice parameters (Å, degrees): 6.168 7.124 8.719 90.04 90.09 90.17
Space group P-1 (No. 2)
Unique sites:
1 Pm 0.000 0.000 0.000
2 Pm 0.166 0.749 0.666
3 Dy 0.000 0.500 0.000
4 Dy 0.335 0.000 0.333
5 Dy 0.499 0.251 0.000
6 Ho 0.168 0.251 0.666
7 Ho 0.334 0.500 0.333

- Formation enthalpy at 0 K: 0.017 eV per atom
- Relative energy among the computed polymorphs: 0 meV per atom

No. 3
VASP calculation (PBE) on an optimized crystal structure of TlSeIN2.

Lattice parameters (Å, degrees): 4.108 4.108 6.315 90.00 90.00 90.00
Space group P4/mmm (No. 123)
Unique sites:
1 Tl 0.000 0.000 0.000
2 Se 0.500 0.500 0.000
3 I 0.500 0.500 0.500
4 N 0.000 0.500 0.500

- ΔE_f (raw): 1.569 eV/atom
- Relative energy among the computed polymorphs: 70 meV per atom

No. 4
VASP calculation (PBE) on an optimized crystal structure of YSN2Cl.

Lattice parameters (Å, degrees): 4.062 4.062 4.368 90.00 90.00 90.00
Space group P4/mmm (No. 123)
Unique sites:
1 Y 0.000 0.000 0.000
2 S 0.500 0.500 0.000
3 N 0.000 0.500 0.500
4 Cl 0.500 0.500 0.500

- ΔE_f (raw): 0.976 eV/atom
- Relative energy among the computed polymorphs: 42 meV per atom

No. 5
VASP calculation (PBE) on an optimized crystal structure of Ca2TlAg.

Lattice parameters (Å, degrees): 5.512 5.512 3.605 90.00 90.00 90.00
Space group P4/mmm (No. 123)
Unique sites:
1 Ca 0.000 0.500 0.000
2 Tl 0.000 0.000 0.500
3 Ag 0.500 0.500 0.500

- Formation enthalpy at 0 K: -0.359 eV per atom

No. 6
VASP calculation (PBE) on an optimized crystal structure of CaCrCo.

Lattice parameters (Å, degrees): 3.159 3.159 10.799 90.00 90.00 90.00
Space group I4mm (No. 107)
Unique sites:
1 Ca 0.000 0.000 0.000
2 Cr 0.000 0.000 0.279
3 Co 0.000 0.000 0.707

- Formation enthalpy at 0 K: 0.469 eV per atom
- Relative energy among the computed polymorphs: 9 meV per atom

No. 7
VASP calculation (PBE) on an optimized crystal structure of K2HfF6.

Lattice parameters (Å, degrees): 6.638 11.655 6.960 90.00 90.15 90.00
Space group C2/c (No. 15)
Unique sites:
1 K 0.016 0.157 0.003
2 Hf 0.000 0.452 0.250
3 F 0.029 0.403 0.955
4 F 0.189 0.309 0.272
5 F 0.212 0.013 0.278

- ΔE_f (raw): -3.454 eV/atom

No. 8
VASP calculation (PBE) on an optimized crystal structure of YPCl4.

Lattice parameters (Å, degrees): 8.195 8.195 8.195 90.00 90.00 90.00
Space group F-43m (No. 216)
Unique sites:
1 Y 0.000 0.000 0.000
2 P 0.250 0.250 0.250
3 Cl 0.126 0.126 0.626

- ΔE_f (raw): 0.099 eV/atom

No. 9
VASP calculation (PBE) on an optimized crystal structure of LaPu2N3.

Lattice parameters (Å, degrees): 3.540 5.075 10.709 90.00 90.00 90.00
Space group Immm (No. 71)
Unique sites:
1 La 0.000 0.000 0.000
2 Pu 0.000 0.000 0.334
3 N 0.000 0.500 0.000
4 N 0.000 0.500 0.312

- ΔE_f (raw): -1.262 eV/atom
- Relative energy among the computed polymorphs: 0 meV per atom

No. 10
VASP calculation (PBE) on an optimized crystal structure of Tm3Zn4Sn2.

Lattice parameters (Å, degrees): 10.808 4.513 8.556 90.00 112.51 90.00
Space group C2/m (No. 12)
Unique sites:
1 Tm 0.000 0.000 0.000
2 Tm 0.167 0.500 0.669
3 Zn 0.020 0.000 0.365
4 Zn 0.250 0.000 0.934
5 Sn 0.116 0.500 0.279

- Formation enthalpy at 0 K: -0.476 eV per atom

What did the ninth record say?
VASP calculation (PBE) on an optimized crystal structure of LaPu2N3.

Lattice parameters (Å, degrees): 3.540 5.075 10.709 90.00 90.00 90.00
Space group Immm (No. 71)
Unique sites:
1 La 0.000 0.000 0.000
2 Pu 0.000 0.000 0.334
3 N 0.000 0.500 0.000
4 N 0.000 0.500 0.312

- ΔE_f (raw): -1.262 eV/atom
- Relative energy among the computed polymorphs: 0 meV per atom